{
  "formula": "Fe3OF5",
  "functional": "PBE with a Hubbard U",
  "state": "relaxed",
  "lattice_angstrom": [[4.657, -3.426, 0.000], [4.657, 3.426, 0.000], [-2.601, 0.000, 6.964]],
  "species": ["Fe", "Fe", "Fe", "Fe", "Fe", "Fe", "O", "O", "F", "F", "F", "F", "F", "F", "F", "F", "F", "F"],
  "fractional_positions": [[0.000, 0.000, 0.000], [0.000, 0.000, 0.500], [0.338, 0.338, 0.329], [0.355, 0.355, 0.848], [0.645, 0.645, 0.152], [0.662, 0.662, 0.671], [0.432, 0.432, 0.124], [0.568, 0.568, 0.876], [0.043, 0.636, 0.823], [0.120, 0.120, 0.812], [0.246, 0.246, 0.550], [0.292, 0.708, 0.500], [0.364, 0.957, 0.177], [0.636, 0.043, 0.823], [0.708, 0.292, 0.500], [0.754, 0.754, 0.450], [0.880, 0.880, 0.188], [0.957, 0.364, 0.177]],
  "crystal_system": "monoclinic",
  "dft_energy_ev_per_atom": -5.723,
  "n_ef_per_ev_cell": 0.0,
  "space_group": "No. 12"
}